Entry 1:
# BaCaGaAs2, optimized geometry, DFT PBE-GGA
data_BaCaGaAs2
_chemical_formula_sum 'Ba2 Ca2 Ga2 As4'
_cell_length_a 5.430
_cell_length_b 7.534
_cell_length_c 7.933
_cell_angle_alpha 105.35
_cell_angle_beta 90.00
_cell_angle_gamma 90.00
_space_group_name_H-M_alt 'P 1'
_space_group_IT_number 1
_space_group_name_Hall 'P 1'
loop_
_atom_site_label
_atom_site_fract_x
_atom_site_fract_y
_atom_site_fract_z
_atom_site_occupancy
Ga1 0.000 0.000 0.000 1
Ga2 0.000 0.000 0.500 1
Ca1 0.482 0.000 0.250 1
Ca2 0.518 0.000 0.750 1
Ba1 0.216 0.500 0.750 1
Ba2 0.784 0.500 0.250 1
As1 0.268 0.744 0.444 1
As2 0.732 0.256 0.556 1
As3 0.268 0.256 0.056 1
As4 0.732 0.744 0.944 1
# Volume ... 313.0 Å³/cell
# SG ... P2/c, No. 13
# DOS(E_F) ... 0.6139 states/eV per atom
# E_form ... -0.73 eV/atom

Entry 2:
# Ba2CaGa2As4, optimized geometry, DFT PBE-GGA
data_Ba2CaGa2As4
_chemical_formula_sum 'Ba2 Ca1 Ga2 As4'
_cell_length_a 4.282
_cell_length_b 7.694
_cell_length_c 8.301
_cell_angle_alpha 108.51
_cell_angle_beta 104.95
_cell_angle_gamma 90.00
_space_group_name_H-M_alt 'P 1'
_space_group_IT_number 1
_space_group_name_Hall 'P 1'
loop_
_atom_site_label
_atom_site_fract_x
_atom_site_fract_y
_atom_site_fract_z
_atom_site_occupancy
As1 0.480 0.258 0.960 1
As2 0.790 0.818 0.581 1
As3 0.210 0.182 0.419 1
As4 0.520 0.742 0.040 1
Ga1 0.334 0.021 0.667 1
Ga2 0.666 0.979 0.333 1
Ba1 0.128 0.557 0.256 1
Ba2 0.872 0.443 0.744 1
Ca1 0.000 0.000 0.000 1
# Volume ... 249.6 Å³/cell
# SG ... C2/m, No. 12
# DOS(E_F) ... 0.2152 states/eV per atom
# E_form ... -0.87 eV/atom

no.,total DFT energy (no corrections) (Ha/atom)
1,-0.146
2,-0.156